Entry 1:
First-principles (PBE-GGA) data for a relaxed structure of Y4ErSc6, as listed in the Alexandria database.

Summary:
E_tot: -65.34 eV/cell
crystal system: tetragonal
formation energy from the elements: 0.2789 eV per atom

Cell: 9.0579 9.0579 9.0579 Å, 138.93 138.93 59.47°
Closest atoms and distances in Å follow each position.
Fractional coordinates of all 11 atoms:
Y 0.1280 0.1280 0.6160  7 Sc 3.27-3.65, 1 Er 3.31, 1 Y 3.45
Y 0.4879 0.8720 0.0000  7 Sc 3.27-3.65, 1 Er 3.31, 1 Y 3.45
Y 0.5121 0.5121 0.3840  7 Sc 3.27-3.65, 1 Er 3.31, 1 Y 3.45
Y 0.8720 0.4879 0.0000  7 Sc 3.27-3.65, 1 Er 3.31, 1 Y 3.45
Er 0.5000 0.5000 0.0000  8 Sc 3.18-3.45, 4 Y 3.31
Sc 0.0000 0.5000 0.5000  4 Sc 2.95, 2 Er 3.18
Sc 0.0582 0.7167 0.0000  3 Sc 2.95-3.07, 1 Y 3.27
Sc 0.2833 0.2833 0.3415  3 Sc 2.95-3.07, 1 Y 3.27
Sc 0.5000 0.0000 0.5000  4 Sc 2.95, 2 Er 3.18
Sc 0.7167 0.0582 0.0000  3 Sc 2.95-3.07, 1 Y 3.27
Sc 0.9418 0.9418 0.6585  3 Sc 2.95-3.07, 1 Y 3.27

***

Entry 2:
First-principles (PBE-GGA) data for a relaxed structure of SrPmPb4, as listed in the Alexandria database.

Summary:
E_tot: -47.13 eV/cell
crystal system: orthorhombic
formation energy from the elements: -0.3832 eV per atom
energy above the most stable polymorph in this dataset: 0.00 eV/f.u.

Cell: 12.2729 12.2729 6.8816 Å, 90.00 90.00 157.43°
Closest atoms and distances in Å follow each position.
Fractional coordinates of all 12 atoms:
Sr 0.2239 0.7761 0.7500  7 Pb 3.50-3.54
Sr 0.7761 0.2239 0.2500  7 Pb 3.50-3.54
Pm 0.0678 0.9322 0.2500  11 Pb 3.37-3.52
Pm 0.9322 0.0678 0.7500  11 Pb 3.37-3.52
Pb 0.0786 0.9214 0.7500  8 Pb 3.44-3.51, 3 Pm 3.45-3.52, 1 Sr 3.50
Pb 0.3528 0.6472 0.5153  4 Pb 3.23-3.55, 2 Pm 3.47, 3 Sr 3.50-3.54
Pb 0.3528 0.6472 0.9847  4 Pb 3.23-3.55, 2 Pm 3.47, 3 Sr 3.50-3.54
Pb 0.5000 0.5000 0.0000  4 Pm 3.37, 8 Pb 3.44-3.55
Pb 0.5000 0.5000 0.5000  4 Pm 3.37, 8 Pb 3.44-3.55
Pb 0.6472 0.3528 0.0153  4 Pb 3.23-3.55, 2 Pm 3.47, 3 Sr 3.50-3.54
Pb 0.6472 0.3528 0.4847  4 Pb 3.23-3.55, 2 Pm 3.47, 3 Sr 3.50-3.54
Pb 0.9214 0.0786 0.2500  8 Pb 3.44-3.51, 3 Pm 3.45-3.52, 1 Sr 3.50

***

Entry 3:
First-principles (PBE-GGA) data for a relaxed structure of BeBPdAu, as listed in the Alexandria database.

Summary:
E_tot: -18.74 eV/cell
crystal system: orthorhombic
formation energy from the elements: 0.0345 eV per atom
energy above the most stable polymorph in this dataset: 0.12 eV/f.u.

Cell: 3.0617 3.4210 4.8918 Å, 90.00 90.00 90.00°
Closest atoms and distances in Å follow each position.
Fractional coordinates of all 4 atoms:
Be 0.0000 0.0000 0.0000  2 B 1.97
B 0.0000 0.5000 0.7994  2 Be 1.97, 2 Au 2.20
Pd 0.5000 0.5000 0.1293  2 B 2.22, 4 Be 2.38
Au 0.0000 0.0000 0.5159  2 B 2.20, 1 Be 2.37

***

Entry 4:
First-principles (PBE-GGA) data for a relaxed structure of Zr5Co2Pb2, as listed in the Alexandria database.

Summary:
E_tot: -132.89 eV/cell
crystal system: orthorhombic
formation energy from the elements: -0.2305 eV per atom

Cell: 8.3238 8.3238 6.8889 Å, 90.00 90.00 54.91°
Closest atoms and distances in Å follow each position.
Fractional coordinates of all 18 atoms:
Zr 0.0000 0.0000 0.0000  2 Co 2.66
Zr 0.0631 0.7192 0.6544  3 Co 2.61-2.75
Zr 0.2192 0.5631 0.1544  3 Co 2.61-2.75
Zr 0.2808 0.9369 0.6544  3 Co 2.61-2.75
Zr 0.4369 0.7808 0.1544  3 Co 2.61-2.75
Zr 0.5000 0.5000 0.5000  2 Co 2.66
Zr 0.5631 0.2192 0.8456  3 Co 2.61-2.75
Zr 0.7192 0.0631 0.3456  3 Co 2.61-2.75
Zr 0.7808 0.4369 0.8456  3 Co 2.61-2.75
Zr 0.9369 0.2808 0.3456  3 Co 2.61-2.75
Co 0.1187 0.8813 0.3628  7 Zr 2.61-2.75, 1 Co 2.63
Co 0.3813 0.6187 0.8628  7 Zr 2.61-2.75, 1 Co 2.63
Co 0.6187 0.3813 0.1372  7 Zr 2.61-2.75, 1 Co 2.63
Co 0.8813 0.1187 0.6372  7 Zr 2.61-2.75, 1 Co 2.63
Pb 0.2176 0.2176 0.0000  7 Zr 3.07-3.21
Pb 0.2824 0.2824 0.5000  7 Zr 3.07-3.21
Pb 0.7176 0.7176 0.5000  7 Zr 3.07-3.21
Pb 0.7824 0.7824 0.0000  7 Zr 3.07-3.21